(1)
## YTePt (GGA-PBE)

Data for YTePt after structural relaxation.

Values from the calculation:
DOS(E_F) = 0.652 states/eV per atom
calculated volume = 23.6 A^3/atom
formation energy from raw total energies = -2.52 eV per formula unit
spin magnetization = 0.00 μB/cell

Unit cell a=3.919 b=3.919 c=9.205 alpha=90.00 beta=90.00 gamma=90.00
Space group I4mm (No. 107)
Unique sites:
Y1 0.000 0.000 0.000
Te1 0.000 0.000 0.662
Pt1 0.000 0.000 0.354

(2)
## NaInRe2 (GGA-PBE)

Data for NaInRe2 after structural relaxation.

Values from the calculation:
DOS(E_F) = 0.664 states/eV per atom
calculated volume = 20.0 A^3/atom
total energy = -5.77 eV per atom
spin magnetization = 0.00 μB/cell

Unit cell a=7.984 b=7.984 c=5.015 alpha=90.00 beta=90.00 gamma=90.00
Space group I-42d (No. 122)
Unique sites:
Na1 0.000 0.000 0.000
In1 0.000 0.000 0.500
Re1 0.214 0.250 0.625

(3)
## SiPd3Pt (GGA-PBE)

Data for SiPd3Pt after structural relaxation.

Values from the calculation:
DOS(E_F) = 0.564 states/eV per atom
calculated volume = 17.6 A^3/atom
polymorph energy (0 for the lowest one) = 3.02 eV per formula unit
formation energy from raw total energies = 1.19 eV per formula unit
spin magnetization = 0.00 μB/cell

Unit cell a=4.452 b=4.452 c=4.452 alpha=90.00 beta=90.00 gamma=90.00
Space group Pm-3m (No. 221)
Unique sites:
Si1 0.000 0.000 0.000
Pd1 0.000 0.000 0.500
Pt1 0.500 0.500 0.500